# KNiP3O9

A relaxed KNiP3O9 crystal (GGA+U, Alexandria).

```
data_KNiP3O9
_chemical_formula_sum 'K3 Ni3 P9 O27'
_cell_length_a 10.2203
_cell_length_b 10.2203
_cell_length_c 7.0747
_cell_angle_alpha 90.00
_cell_angle_beta 90.00
_cell_angle_gamma 120.00
_symmetry_space_group_name_H-M 'R 3'
_symmetry_Int_Tables_number 146
_symmetry_space_group_name_Hall 'R 3'
loop_
_atom_site_label
_atom_site_type_symbol
_atom_site_fract_x
_atom_site_fract_y
_atom_site_fract_z
K1 K 0.0000 0.0000 0.0000
Ni1 Ni 0.0000 0.0000 0.5079
P1 P 0.0095 0.5721 0.9772
O1 O 0.0202 0.6358 0.7653
O2 O 0.0752 0.1884 0.3351
O3 O 0.1880 0.1084 0.6831
```

Computed properties:
Total magnetic moment, μB per atom: 0.134
E_tot, Ha/atom: -0.2466